1:
Mg2CdBr: PBEsol geometry, SCAN.

Computed properties:
Total moment (μB/atom): 0.000

a b c (Å): 5.525 5.525 5.525
angles (deg): 130.70 130.70 72.29
Positions (direct):
Mg: 0.250 0.750 0.500
Mg: 0.750 0.250 0.500
Cd: 0.000 0.000 0.000
Br: 0.500 0.500 0.000


2:
Mg2CdBr: PBEsol geometry, SCAN.

Computed properties:
Total moment (μB/atom): 0.000

a b c (Å): 5.403 5.403 3.263
angles (deg): 90.00 90.00 90.00
Positions (direct):
Mg: 0.000 0.500 0.000
Mg: 0.500 0.000 0.000
Cd: 0.000 0.000 0.510
Br: 0.500 0.500 0.054


3:
Mg2CdBr: PBEsol geometry, SCAN.

Computed properties:
Total moment (μB/atom): 0.000

a b c (Å): 5.387 5.387 3.211
angles (deg): 95.25 95.25 85.55
Positions (direct):
Mg: 0.000 0.500 0.000
Mg: 0.500 0.000 0.000
Cd: 0.000 0.000 0.500
Br: 0.500 0.500 0.500


Of them, 2 has the highest stability.


1:
MgCdBr2: PBEsol geometry, SCAN.

Computed properties:
Total moment (μB/atom): 0.000

a b c (Å): 6.019 6.019 6.019
angles (deg): 146.16 117.77 72.75
Positions (direct):
Mg: 0.000 0.000 0.000
Cd: 0.244 0.744 0.500
Br: 0.474 0.474 0.000
Br: 0.804 0.304 0.500


2:
MgCdBr2: PBEsol geometry, SCAN.

Computed properties:
Total moment (μB/atom): 0.000

a b c (Å): 3.719 3.719 10.219
angles (deg): 90.00 90.00 119.69
Positions (direct):
Mg: 0.000 0.000 0.000
Cd: 0.000 0.000 0.500
Br: 0.500 0.500 0.171
Br: 0.500 0.500 0.829


Of them, 2 has the highest stability.